Record 1
VASP calculation (PBE) on a relaxed AcLuScCd crystal.

a b c (Å): 5.470 5.470 5.470
angles (deg): 60.00 60.00 60.00
Fractional coordinates of all 4 atoms:
Ac (0.000, 0.000, 0.000)
Lu (0.250, 0.250, 0.250)
Sc (0.750, 0.750, 0.750)
Cd (0.500, 0.500, 0.500)

Output
DOS(E_F) in states/eV per atom: 1.8826
E in eV per atom: -3.83
Spin magnetization in μB per formula unit: 1.03
Energy relative to the elements in meV/atom: 138
Crystal system: cubic

---

Record 2
VASP calculation (PBE) on a relaxed AcTbLuCd crystal.

a b c (Å): 5.632 5.632 5.632
angles (deg): 60.00 60.00 60.00
Fractional coordinates of all 4 atoms:
Ac (0.000, 0.000, 0.000)
Tb (0.500, 0.500, 0.500)
Lu (0.250, 0.250, 0.250)
Cd (0.750, 0.750, 0.750)

Output
DOS(E_F) in states/eV per atom: 1.1951
E in eV per atom: -3.56
Spin magnetization in μB per formula unit: 0.00
Energy relative to the elements in meV/atom: -13
Crystal system: cubic

---

Record 3
VASP calculation (PBE) on a relaxed AcMg2Cd2 crystal.

a b c (Å): 13.062 13.062 13.062
angles (deg): 159.37 159.37 29.34
Fractional coordinates of all 10 atoms:
Ac (0.126, 0.126, 0.000)
Ac (0.874, 0.874, 0.000)
Mg (0.000, 0.500, 0.500)
Mg (0.317, 0.317, 0.000)
Mg (0.500, 0.000, 0.500)
Mg (0.683, 0.683, 0.000)
Cd (0.250, 0.750, 0.500)
Cd (0.429, 0.429, 0.000)
Cd (0.571, 0.571, 0.000)
Cd (0.750, 0.250, 0.500)

Output
DOS(E_F) in states/eV per atom: 0.8425
E in eV per atom: -2.02
Spin magnetization in μB per formula unit: 0.00
Energy relative to the elements in meV/atom: -194
Offset from the most stable computed form in meV per atom: 41
Crystal system: tetragonal

---

Record 4
VASP calculation (PBE) on a relaxed AcMg6Cd2 crystal.

a b c (Å): 9.365 9.365 9.365
angles (deg): 60.00 60.00 60.00
Fractional coordinates of all 18 atoms:
Ac (0.125, 0.125, 0.125)
Ac (0.875, 0.875, 0.875)
Mg (0.136, 0.136, 0.614)
Mg (0.136, 0.614, 0.136)
Mg (0.136, 0.614, 0.614)
Mg (0.386, 0.386, 0.864)
Mg (0.386, 0.864, 0.386)
Mg (0.386, 0.864, 0.864)
Mg (0.614, 0.136, 0.136)
Mg (0.614, 0.136, 0.614)
Mg (0.614, 0.614, 0.136)
Mg (0.864, 0.386, 0.386)
Mg (0.864, 0.386, 0.864)
Mg (0.864, 0.864, 0.386)
Cd (0.000, 0.500, 0.500)
Cd (0.500, 0.000, 0.500)
Cd (0.500, 0.500, 0.000)
Cd (0.500, 0.500, 0.500)

Output
DOS(E_F) in states/eV per atom: 0.9227
E in eV per atom: -1.39
Spin magnetization in μB per formula unit: 0.00
Energy relative to the elements in meV/atom: 328
Offset from the most stable computed form in meV per atom: 457
Crystal system: cubic